Density functional theory data (PBEsol) for a geometry-optimized BeCu3 structure.

Summary:
The density comes out at 7.83 g/cm3. The density of states at the Fermi level comes out at 1.20 states/eV/cell. For the total magnetization, the calculation gives 0.0 Bohr magnetons per cell. Its calculated formation energy is 0.0015 eV/atom.

a = 4.161 Å, b = 4.161 Å, c = 2.555 Å
α = 90.00°, β = 90.00°, γ = 106.88°
Fractional coordinates of all 4 atoms:
1 Be 0.000 0.000 0.000
2 Cu 0.000 0.500 0.500
3 Cu 0.500 0.000 0.500
4 Cu 0.500 0.500 0.000